(1)
GGA-PBE TmCuSe2, optimized geometry; calculated volume = 84.57 Å³ per cell; space group = R3m, No. 160; final energy = -4.8762 eV/atom
1.0
3.8869 0.0000 0.0000
1.9435 3.3662 0.0000
1.9435 1.1221 6.4638
Tm Cu Se
1 1 2
Direct
0.5002 0.5002 0.4993
0.6691 0.6691 0.9927
0.0743 0.0743 0.7772
0.2564 0.2564 0.2307

---

(2)
GGA-PBE Tm4CuSe3, optimized geometry; calculated volume = 184.15 Å³ per cell; space group = Cmmm, No. 65; final energy = -5.3788 eV/atom
1.0
-2.6143 0.1587 -2.8964
-2.2067 -6.4906 1.6360
-3.8138 4.6332 3.6963
Tm Se Cu
4 3 1
Direct
0.0000 0.2339 0.2339
0.5000 0.7575 0.2425
0.0000 0.7661 0.7661
0.5000 0.2425 0.7575
0.0000 0.0000 0.5000
0.5000 0.5000 0.5000
0.0000 0.5000 0.0000
0.5000 0.0000 0.0000